(1)
A plane-wave DFT calculation with GGA-PBE was carried out for crystalline CrCdSb2W at its relaxed geometry.

Properties
SG	No. 123
E_form (uncorrected)	0.867	eV/atom

POSCAR file:
```
CrCdSb2W
1.0
-0.519 -4.893 -1.751
4.684 0.164 -1.849
1.853 -1.818 4.532
W Sb Cd Cr
1 2 1 1
Direct
0.000 0.000 0.000
0.000 0.000 0.500
0.500 0.000 0.000
0.500 0.500 0.500
0.000 0.500 0.000
```

=====

(2)
A plane-wave DFT calculation with GGA-PBE was carried out for crystalline RbHfGeN3 at its relaxed geometry.

Properties
SG	No. 11
E_form (uncorrected)	-0.614	eV/atom

POSCAR file:
```
RbHfGeN3
1.0
3.257 0.000 0.000
0.000 7.766 0.068
0.000 -1.961 9.197
Rb N Hf Ge
2 6 2 2
Direct
0.250 0.159 0.207
0.750 0.841 0.793
0.250 0.580 0.906
0.750 0.420 0.094
0.750 0.788 0.220
0.250 0.212 0.780
0.250 0.863 0.519
0.750 0.137 0.481
0.250 0.610 0.124
0.750 0.390 0.876
0.750 0.877 0.411
0.250 0.123 0.589
```

=====

(3)
A plane-wave DFT calculation with GGA-PBE was carried out for crystalline Pm3BRh4 at its relaxed geometry.

Properties
SG	No. 44
ΔH_f (0 K)	-49.8	kJ/mol of atoms

POSCAR file:
```
Pm3BRh4
1.0
5.944 -0.229 0.843
-3.127 5.060 -0.843
-1.846 -2.160 5.293
Pm B Rh
3 1 4
Direct
0.574 0.759 0.333
0.574 0.241 0.816
0.955 0.000 0.955
0.007 0.500 0.507
0.060 0.751 0.310
0.211 0.684 0.895
0.211 0.316 0.527
0.559 0.249 0.310
```

=====

(4)
A plane-wave DFT calculation with GGA-PBE was carried out for crystalline ZnSbS2N at its relaxed geometry.

Properties
SG	No. 123
E_form (uncorrected)	0.716	eV/atom
relative energy among the computed polymorphs	0.000	eV/atom

POSCAR file:
```
ZnSbS2N
1.0
4.914 0.000 0.000
0.000 4.914 0.000
0.000 0.000 3.781
Zn N S Sb
1 1 2 1
Direct
0.000 0.000 0.000
0.000 0.000 0.500
0.000 0.500 0.000
0.500 0.000 0.000
0.500 0.500 0.500
```

=====

(5)
A plane-wave DFT calculation with GGA-PBE was carried out for crystalline Ac2ZnGe3Pd4 at its relaxed geometry.

Properties
SG	No. 115
ΔH_f (0 K)	-77.4	kJ/mol of atoms

POSCAR file:
```
Ac2ZnGe3Pd4
1.0
4.466 0.000 0.000
0.000 4.466 0.000
0.000 0.000 10.333
Pd Ge Ac Zn
4 3 2 1
Direct
0.500 0.500 0.000
0.000 0.500 0.373
0.000 0.000 0.000
0.500 0.000 0.627
0.000 0.500 0.126
0.000 0.000 0.500
0.500 0.000 0.874
0.500 0.000 0.252
0.000 0.500 0.748
0.500 0.500 0.500
```

=====

(6)
A plane-wave DFT calculation with GGA-PBE was carried out for crystalline CeNdPb at its relaxed geometry.

Properties
SG	No. 129
relative energy among the computed polymorphs	0.119	eV/atom
ΔH_f (0 K)	-29.0	kJ/mol of atoms

POSCAR file:
```
CeNdPb
1.0
-3.758 -2.770 0.333
2.271 -3.362 -2.333
3.108 -3.285 7.759
Ce Nd Pb
2 2 2
Direct
0.000 0.500 0.645
0.500 0.000 0.355
0.000 0.000 0.000
0.500 0.500 0.000
0.500 0.000 0.722
0.000 0.500 0.278
```

=====

(7)
A plane-wave DFT calculation with GGA-PBE was carried out for crystalline La3MgCd4 at its relaxed geometry.

Properties
SG	No. 166
ΔH_f (0 K)	-28.7	kJ/mol of atoms

POSCAR file:
```
La3MgCd4
1.0
-4.238 2.323 -2.402
-0.843 -0.729 -5.280
-6.733 -6.785 -0.747
Mg La Cd
1 3 4
Direct
0.000 0.000 0.000
0.256 0.256 0.233
0.500 0.500 0.500
0.744 0.744 0.767
0.876 0.876 0.371
0.626 0.626 0.122
0.374 0.374 0.878
0.124 0.124 0.629
```

=====

(8)
A plane-wave DFT calculation with GGA-PBE was carried out for crystalline BaCaZrNbO6 at its relaxed geometry.

Properties
SG	No. 216
E_form (uncorrected)	-2.898	eV/atom

POSCAR file:
```
BaCaZrNbO6
1.0
0.000 4.157 4.157
4.157 0.000 4.157
4.157 4.157 0.000
O Ca Nb Zr Ba
6 1 1 1 1
Direct
0.754 0.754 0.246
0.246 0.754 0.246
0.246 0.246 0.754
0.754 0.246 0.754
0.754 0.246 0.246
0.246 0.754 0.754
0.750 0.750 0.750
0.000 0.000 0.000
0.500 0.500 0.500
0.250 0.250 0.250
```